Material: K2PmCrF6
Method: DFT, PBE+U
State: relaxed

E in eV/atom: -5.514
Volume in A^3/atom: 20.27

a b c (Å): 6.9443 6.9027 8.4558
angles (deg): 90.00 90.00 90.00
Site moments in Bohr magnetons follow the coordinates.
Positions (direct):
1 K 0.5000 0.8239 0.2456  0.01
2 K 0.0000 0.1761 0.7456  0.01
3 K 0.5000 0.8239 0.7544  0.01
4 K 0.0000 0.1761 0.2544  0.01
5 Pm 0.0000 0.6793 0.5000  0.02
6 Pm 0.5000 0.3207 0.0000  0.02
7 Cr 0.5000 0.2544 0.5000  4.40
8 Cr 0.0000 0.7456 0.0000  4.40
9 F 0.5000 0.2303 0.2573  -0.01
10 F 0.5000 0.2303 0.7427  -0.01
11 F 0.0000 0.7697 0.2427  -0.01
12 F 0.0000 0.7697 0.7573  -0.01
13 F 0.2614 0.8760 0.5000  0.01
14 F 0.7386 0.8760 0.5000  0.01
15 F 0.1960 0.4172 0.5000  0.02
16 F 0.8040 0.4172 0.5000  0.02
17 F 0.6960 0.5828 0.0000  0.02
18 F 0.3040 0.5828 0.0000  0.02
19 F 0.2386 0.1240 0.0000  0.01
20 F 0.7614 0.1240 0.0000  0.01